# 1
Below is a relaxed TiV2CSe crystal, with properties calculated at the PBE-GGA level.

Lattice parameters (Å, degrees): 3.9556 3.9556 4.3038 90.00 90.00 90.00
Last column: nearest neighbours and their distance in Å.
Atoms (fractional coordinates):
Ti  0.0000  0.0000  0.0000  2 C 2.15
V  0.0000  0.5000  0.5000  2 C 1.98
V  0.5000  0.0000  0.5000  2 C 1.98
C  0.0000  0.0000  0.5000  4 V 1.98, 2 Ti 2.15
Se  0.5000  0.5000  0.0000  4 Ti 2.80, 8 V 2.92

Computed properties:
**Formation energy (no corrections)**: -0.17 eV per atom
**Uncorrected energy**: -0.2916 Ha/atom
**Magnetic moment**: 0.00 μB per cell
**Symmetry**: P4/mmm, No. 123
**Density of states at the Fermi level**: 1.235 states/eV per atom

***

# 2
Below is a relaxed Zr2TiCSe crystal, with properties calculated at the PBE-GGA level.

Lattice parameters (Å, degrees): 4.4207 4.4207 4.8323 90.00 90.00 90.00
Last column: nearest neighbours and their distance in Å.
Atoms (fractional coordinates):
Zr  0.0000  0.5000  0.0000  2 C 2.21
Zr  0.5000  0.0000  0.0000  2 C 2.21
Ti  0.0000  0.0000  0.5000  4 Se 3.13, 8 Zr 3.27
C  0.5000  0.5000  0.0000  4 Zr 2.21, 2 Se 2.42
Se  0.5000  0.5000  0.5000  2 C 2.42

Computed properties:
**Formation energy (no corrections)**: 0.21 eV per atom
**Uncorrected energy**: -0.2694 Ha/atom
**Magnetic moment**: 0.00 μB per cell
**Symmetry**: P4/mmm, No. 123
**Density of states at the Fermi level**: 0.851 states/eV per atom
**Energy above the most stable polymorph in this dataset**: 0.606 eV per atom

***

# 3
Below is a relaxed Zr2TiCSe crystal, with properties calculated at the PBE-GGA level.

Lattice parameters (Å, degrees): 4.6410 4.6410 4.0188 90.00 90.00 90.00
Last column: nearest neighbours and their distance in Å.
Atoms (fractional coordinates):
Zr  0.0000  0.5000  0.0000  2 C 2.32
Zr  0.5000  0.0000  0.0000  2 C 2.32
Ti  0.0000  0.0000  0.5000  2 C 2.01
C  0.0000  0.0000  0.0000  2 Ti 2.01
Se  0.5000  0.5000  0.5000  8 Zr 3.07, 4 Ti 3.28

Computed properties:
**Formation energy (no corrections)**: -0.40 eV per atom
**Uncorrected energy**: -0.2916 Ha/atom
**Magnetic moment**: 0.00 μB per cell
**Symmetry**: P4/mmm, No. 123
**Density of states at the Fermi level**: 1.185 states/eV per atom
**Energy above the most stable polymorph in this dataset**: 0.000 eV per atom

***

# 4
Below is a relaxed TlCSe2 crystal, with properties calculated at the PBE-GGA level.

Lattice parameters (Å, degrees): 4.8441 4.8441 4.8441 60.00 60.00 60.00
Last column: nearest neighbours and their distance in Å.
Atoms (fractional coordinates):
Tl  0.0000  0.0000  0.0000  8 Se 2.97
C  0.5000  0.5000  0.5000  8 Se 2.97
Se  0.2500  0.2500  0.2500  4 Tl 2.97, 4 C 2.97
Se  0.7500  0.7500  0.7500  4 Tl 2.97, 4 C 2.97

Computed properties:
**Formation energy (no corrections)**: 1.66 eV per atom
**Uncorrected energy**: -0.1096 Ha/atom
**Magnetic moment**: 0.00 μB per cell
**Symmetry**: Fm-3m, No. 225
**Density of states at the Fermi level**: 1.130 states/eV per atom
**Energy above the most stable polymorph in this dataset**: 1.047 eV per atom

***

# 5
Below is a relaxed TlCSe3 crystal, with properties calculated at the PBE-GGA level.

Lattice parameters (Å, degrees): 4.6107 4.6107 4.6107 90.00 90.00 90.00
Last column: nearest neighbours and their distance in Å.
Atoms (fractional coordinates):
Tl  0.0000  0.0000  0.0000  12 Se 3.26
C  0.5000  0.5000  0.5000  6 Se 2.31
Se  0.0000  0.5000  0.5000  2 C 2.31
Se  0.5000  0.0000  0.5000  2 C 2.31
Se  0.5000  0.5000  0.0000  2 C 2.31

Computed properties:
**Formation energy (no corrections)**: 0.90 eV per atom
**Uncorrected energy**: -0.1290 Ha/atom
**Magnetic moment**: 0.00 μB per cell
**Symmetry**: Pm-3m, No. 221
**Density of states at the Fermi level**: 0.682 states/eV per atom
**Energy above the most stable polymorph in this dataset**: 0.000 eV per atom

***

# 6
Below is a relaxed TlCSe3 crystal, with properties calculated at the PBE-GGA level.

Lattice parameters (Å, degrees): 5.3668 5.3668 5.3668 90.00 90.00 90.00
Last column: nearest neighbours and their distance in Å.
Atoms (fractional coordinates):
Tl  0.0000  0.0000  0.0000  6 Se 2.68
C  0.5000  0.5000  0.5000  12 Se 3.79
Se  0.0000  0.0000  0.5000  2 Tl 2.68
Se  0.0000  0.5000  0.0000  2 Tl 2.68
Se  0.5000  0.0000  0.0000  2 Tl 2.68

Computed properties:
**Formation energy (no corrections)**: 2.16 eV per atom
**Uncorrected energy**: -0.0826 Ha/atom
**Magnetic moment**: 0.00 μB per cell
**Symmetry**: Pm-3m, No. 221
**Density of states at the Fermi level**: 1.962 states/eV per atom
**Energy above the most stable polymorph in this dataset**: 1.263 eV per atom